This record from the Alexandria database describes a relaxed KTiTc3 crystal. The functional is GGA-PBEsol. Values from VASP.

Energy of formation from the pure elements, eV per atom: 2.753
DFT total energy, eV per atom: -5.8977

Cell and atoms, written as Quantum ESPRESSO input:
```
&SYSTEM
  ibrav = 0, nat = 5, ntyp = 3
/
ATOMIC_SPECIES
K 39.10 K.upf
Tc 98.00 Tc.upf
Ti 47.87 Ti.upf
CELL_PARAMETERS angstrom
-2.475 0.221 3.579
0.055 -4.346 0.307
3.586 0.220 2.466
ATOMIC_POSITIONS angstrom
K 0.000 0.000 0.000
Tc 0.028 -2.173 0.153
Tc 1.793 0.110 1.233
Tc -1.238 0.111 1.790
Ti 0.583 -1.953 3.176
```


This record from the Alexandria database describes a relaxed K2TcW crystal. The functional is GGA-PBEsol. Values from VASP.

Energy of formation from the pure elements, eV per atom: 1.481
DFT total energy, eV per atom: -5.3542
Excess energy over the best structure of this formula in the dataset, meV/atom: 0.0

Cell and atoms, written as Quantum ESPRESSO input:
```
&SYSTEM
  ibrav = 0, nat = 4, ntyp = 3
/
ATOMIC_SPECIES
K 39.10 K.upf
Tc 98.00 Tc.upf
W 183.84 W.upf
CELL_PARAMETERS angstrom
-0.745 -2.456 0.839
3.635 0.719 3.353
-3.989 2.504 3.788
ATOMIC_POSITIONS angstrom
K 0.734 -0.422 1.052
K 2.156 -1.315 3.141
Tc -0.177 1.612 3.570
W -2.367 0.024 2.314
```


This record from the Alexandria database describes a relaxed K2TcW crystal. The functional is GGA-PBEsol. Values from VASP.

Energy of formation from the pure elements, eV per atom: 1.550
DFT total energy, eV per atom: -5.2856
Excess energy over the best structure of this formula in the dataset, meV/atom: 68.6

Cell and atoms, written as Quantum ESPRESSO input:
```
&SYSTEM
  ibrav = 0, nat = 4, ntyp = 3
/
ATOMIC_SPECIES
K 39.10 K.upf
Tc 98.00 Tc.upf
W 183.84 W.upf
CELL_PARAMETERS angstrom
2.646 0.000 0.000
0.000 5.245 0.000
0.000 0.000 5.950
ATOMIC_POSITIONS angstrom
K 0.000 3.928 0.000
K 0.000 1.317 0.000
Tc 1.323 2.622 2.975
W 1.323 0.000 2.975
```